Entry from Alexandria via LeMat-Bulk: crystalline MoP2ClF at its relaxed geometry (PBE+U).

Computed properties:
* total magnetization: 3.0 μB/f.u.
* energy above the lowest structure with this stoichiometry: 165.3 meV/atom
* mass density: 3.884 g/cm³

```
MoP2ClF
1.0
4.1350 0.0000 0.0000
0.0000 4.1350 0.0000
0.0000 0.0000 5.3092
Mo P Cl F
1 2 1 1
Cartesian
2.0675 2.0675 2.6546 Mo
0.0000 2.0675 0.0000 P
2.0675 0.0000 0.0000 P
0.0000 0.0000 2.6546 Cl
0.0000 0.0000 0.0000 F
```